The following is a PBE calculation of a geometry-optimized KFeRu2 structure, from Alexandria.

## Properties
ΔE to the lowest computed polymorph ... 706 meV per atom
Final energy ... -5.6207 eV/atom
Spin magnetization ... 0.99 μB/atom
Calculated formation energy ... 1.41 eV per atom
Volume ... 17.2 A^3/atom

Unit cell a=5.2086 b=5.2086 c=2.5363 alpha=90.00 beta=90.00 gamma=90.00
Last column: nearest neighbours and their distance in Å.
Space group P4/mmm (No. 123)
Symmetry-distinct sites (fractional):
K 0.0000 0.0000 0.0000 (multiplicity 1)  2 K 2.54
Fe 0.5000 0.5000 0.0000 (multiplicity 1)  2 Fe 2.54
Ru 0.0000 0.5000 0.5000 (multiplicity 2)  2 Ru 2.54

---

The following is a PBE calculation of a geometry-optimized K2FeRu structure, from Alexandria.

## Properties
ΔE to the lowest computed polymorph ... 615 meV per atom
Final energy ... -3.6692 eV/atom
Spin magnetization ... 0.44 μB/atom
Calculated formation energy ... 1.31 eV per atom
Volume ... 21.0 A^3/atom

Unit cell a=2.9697 b=4.8843 c=11.5793 alpha=90.00 beta=90.00 gamma=90.00
Last column: nearest neighbours and their distance in Å.
Space group Cmmm (No. 65)
Symmetry-distinct sites (fractional):
K 0.0000 0.0000 0.2419 (multiplicity 4)  6 K 2.86-2.97, 2 Ru 3.17
Fe 0.0000 0.5000 0.5000 (multiplicity 2)  6 Fe 2.86-2.97
Ru 0.0000 0.5000 0.0000 (multiplicity 2)  6 Ru 2.86-2.97, 4 K 3.17

---

The following is a PBE calculation of a geometry-optimized KFe2Ru structure, from Alexandria.

## Properties
ΔE to the lowest computed polymorph ... 88 meV per atom
Final energy ... -6.0579 eV/atom
Spin magnetization ... 1.42 μB/atom
Calculated formation energy ... 0.77 eV per atom
Volume ... 20.4 A^3/atom

Unit cell a=8.7423 b=2.7723 c=6.7534 alpha=90.00 beta=94.39 gamma=90.00
Last column: nearest neighbours and their distance in Å.
Space group C2/m (No. 12)
Symmetry-distinct sites (fractional):
K 0.0000 0.0000 0.0000 (multiplicity 2)  2 K 2.77
Fe 0.2332 0.0000 0.6301 (multiplicity 4)  2 Fe 2.27
Ru 0.0000 0.5000 0.5000 (multiplicity 2)  6 Fe 2.55-2.56, 2 Ru 2.77

---

The following is a PBE calculation of a geometry-optimized KFeRu2 structure, from Alexandria.

## Properties
ΔE to the lowest computed polymorph ... 660 meV per atom
Final energy ... -5.6668 eV/atom
Spin magnetization ... 0.29 μB/atom
Calculated formation energy ... 1.36 eV per atom
Volume ... 18.7 A^3/atom

Unit cell a=7.2333 b=7.2333 c=5.7060 alpha=90.00 beta=90.00 gamma=90.00
Last column: nearest neighbours and their distance in Å.
Space group I-42d (No. 122)
Symmetry-distinct sites (fractional):
K 0.0000 0.0000 0.0000 (multiplicity 4)  2 Fe 2.85, 8 Ru 3.06-3.07
Fe 0.0000 0.0000 0.5000 (multiplicity 4)  4 Ru 2.30
Ru 0.1712 0.2500 0.6250 (multiplicity 8)  2 Fe 2.30

---

The following is a PBE calculation of a geometry-optimized KFe2Ru structure, from Alexandria.

## Properties
ΔE to the lowest computed polymorph ... 835 meV per atom
Final energy ... -5.3104 eV/atom
Spin magnetization ... 0.00 μB/atom
Calculated formation energy ... 1.51 eV per atom
Volume ... 19.3 A^3/atom

Unit cell a=7.0785 b=7.0785 c=6.1563 alpha=90.00 beta=90.00 gamma=90.00
Last column: nearest neighbours and their distance in Å.
Space group I-42d (No. 122)
Symmetry-distinct sites (fractional):
K 0.0000 0.0000 0.0000 (multiplicity 4)  8 Fe 3.05-3.14, 2 Ru 3.08
Fe 0.1669 0.2500 0.6250 (multiplicity 8)  2 Ru 2.26
Ru 0.0000 0.0000 0.5000 (multiplicity 4)  4 Fe 2.26

---

The following is a PBE calculation of a geometry-optimized KFe2Ru structure, from Alexandria.

## Properties
ΔE to the lowest computed polymorph ... 956 meV per atom
Final energy ... -5.1896 eV/atom
Spin magnetization ... 0.00 μB/atom
Calculated formation energy ... 1.64 eV per atom
Volume ... 14.8 A^3/atom

Unit cell a=6.1903 b=6.1903 c=6.1903 alpha=90.00 beta=90.00 gamma=90.00
Last column: nearest neighbours and their distance in Å.
Space group Fm-3m (No. 225)
Symmetry-distinct sites (fractional):
K 0.0000 0.0000 0.0000 (multiplicity 4)  8 Fe 2.68
Fe 0.2500 0.2500 0.2500 (multiplicity 8)  4 Ru 2.68, 4 K 2.68
Ru 0.0000 0.0000 0.5000 (multiplicity 4)  8 Fe 2.68

---

The following is a PBE calculation of a geometry-optimized K2FeRu structure, from Alexandria.

## Properties
ΔE to the lowest computed polymorph ... 642 meV per atom
Final energy ... -3.6420 eV/atom
Spin magnetization ... 0.82 μB/atom
Calculated formation energy ... 1.34 eV per atom
Volume ... 22.0 A^3/atom

Unit cell a=2.7871 b=2.7871 c=11.3293 alpha=90.00 beta=90.00 gamma=90.00
Last column: nearest neighbours and their distance in Å.
Space group P4/mmm (No. 123)
Symmetry-distinct sites (fractional):
K 0.0000 0.0000 0.2401 (multiplicity 2)  4 K 2.79
Fe 0.5000 0.5000 0.5000 (multiplicity 1)  4 Fe 2.79
Ru 0.5000 0.5000 0.0000 (multiplicity 1)  4 Ru 2.79

---

The following is a PBE calculation of a geometry-optimized KFe2Ru structure, from Alexandria.

## Properties
ΔE to the lowest computed polymorph ... 37 meV per atom
Final energy ... -6.1091 eV/atom
Spin magnetization ... 1.23 μB/atom
Calculated formation energy ... 0.72 eV per atom
Volume ... 17.8 A^3/atom

Unit cell a=2.8920 b=2.8920 c=8.5032 alpha=90.00 beta=90.00 gamma=90.00
Last column: nearest neighbours and their distance in Å.
Space group P4mm (No. 99)
Symmetry-distinct sites (fractional):
K 0.0000 0.0000 0.0000 (multiplicity 1)  4 K 2.89
Fe 0.0000 0.0000 0.4938 (multiplicity 1)  4 Fe 2.45, 4 Ru 2.51
Fe 0.5000 0.5000 0.6525 (multiplicity 1)  4 Fe 2.45
Ru 0.5000 0.5000 0.3233 (multiplicity 1)  5 Fe 2.51-2.80

---

The following is a PBE calculation of a geometry-optimized KFeRu2 structure, from Alexandria.

## Properties
ΔE to the lowest computed polymorph ... 0 meV per atom
Final energy ... -6.3266 eV/atom
Spin magnetization ... 0.89 μB/atom
Calculated formation energy ... 0.70 eV per atom
Volume ... 20.1 A^3/atom

Unit cell a=2.7625 b=3.7398 c=7.7936 alpha=90.00 beta=90.19 gamma=90.00
Last column: nearest neighbours and their distance in Å.
Space group Pm (No. 6)
Symmetry-distinct sites (fractional):
K 0.0000 0.0000 0.0000 (multiplicity 1)  2 K 2.76
Fe 0.5110 0.5000 0.6563 (multiplicity 1)  5 Ru 2.43-2.68
Ru 0.0115 0.0000 0.4872 (multiplicity 1)  6 Ru 2.58-2.76, 4 Fe 2.67-2.68
Ru 0.5099 0.5000 0.3448 (multiplicity 1)  1 Fe 2.43, 4 Ru 2.58

---

The following is a PBE calculation of a geometry-optimized KFeRu2 structure, from Alexandria.

## Properties
ΔE to the lowest computed polymorph ... 825 meV per atom
Final energy ... -5.5013 eV/atom
Spin magnetization ... 1.45 μB/atom
Calculated formation energy ... 1.53 eV per atom
Volume ... 17.5 A^3/atom

Unit cell a=3.9231 b=3.9231 c=4.5475 alpha=90.00 beta=90.00 gamma=90.00
Last column: nearest neighbours and their distance in Å.
Space group P4/mmm (No. 123)
Symmetry-distinct sites (fractional):
K 0.0000 0.0000 0.0000 (multiplicity 1)  4 Fe 2.77, 8 Ru 3.00
Fe 0.5000 0.5000 0.0000 (multiplicity 1)  4 K 2.77, 8 Ru 3.00
Ru 0.0000 0.5000 0.5000 (multiplicity 2)  4 Ru 2.77, 4 Fe 3.00, 4 K 3.00

---

The following is a PBE calculation of a geometry-optimized KFeRu2 structure, from Alexandria.

## Properties
ΔE to the lowest computed polymorph ... 76 meV per atom
Final energy ... -6.2508 eV/atom
Spin magnetization ... 0.56 μB/atom
Calculated formation energy ... 0.78 eV per atom
Volume ... 18.7 A^3/atom

Unit cell a=2.7179 b=3.3930 c=8.1167 alpha=90.00 beta=90.09 gamma=90.00
Last column: nearest neighbours and their distance in Å.
Space group P2/m (No. 10)
Symmetry-distinct sites (fractional):
K 0.0000 0.0000 0.0000 (multiplicity 1)  2 K 2.72
Fe 0.0000 0.0000 0.5000 (multiplicity 1)  8 Ru 2.52, 2 Fe 2.72
Ru 0.4989 0.5000 0.3419 (multiplicity 2)  4 Fe 2.52, 3 Ru 2.57-2.72

---

The following is a PBE calculation of a geometry-optimized KFeRu4 structure, from Alexandria.

## Properties
Final energy ... -6.7381 eV/atom
Spin magnetization ... 0.36 μB/atom
Calculated formation energy ... 1.04 eV per atom
Volume ... 17.0 A^3/atom

Unit cell a=7.4106 b=7.4106 c=7.4106 alpha=90.00 beta=90.00 gamma=90.00
Last column: nearest neighbours and their distance in Å.
Space group F-43m (No. 216)
Symmetry-distinct sites (fractional):
K 0.0000 0.0000 0.0000 (multiplicity 4)  12 Ru 3.07, 4 Fe 3.21
Fe 0.2500 0.2500 0.2500 (multiplicity 4)  12 Ru 3.07, 4 K 3.21
Ru 0.1243 0.1243 0.6243 (multiplicity 16)  6 Ru 2.60-2.64

---

The following is a PBE calculation of a geometry-optimized K4FeRu structure, from Alexandria.

## Properties
Final energy ... -2.1916 eV/atom
Spin magnetization ... 0.90 μB/atom
Calculated formation energy ... 1.50 eV per atom
Volume ... 36.3 A^3/atom

Unit cell a=9.5471 b=9.5471 c=9.5471 alpha=90.00 beta=90.00 gamma=90.00
Last column: nearest neighbours and their distance in Å.
Space group F-43m (No. 216)
Symmetry-distinct sites (fractional):
K 0.1245 0.1245 0.1245 (multiplicity 16)  6 K 3.36-3.39
Fe 0.0000 0.0000 0.5000 (multiplicity 4)  12 K 3.96, 4 Ru 4.13
Ru 0.2500 0.2500 0.7500 (multiplicity 4)  12 K 3.96, 4 Fe 4.13

---

The following is a PBE calculation of a geometry-optimized KFeRu2 structure, from Alexandria.

## Properties
ΔE to the lowest computed polymorph ... 288 meV per atom
Final energy ... -6.0387 eV/atom
Spin magnetization ... 0.56 μB/atom
Calculated formation energy ... 0.99 eV per atom
Volume ... 16.8 A^3/atom

Unit cell a=2.6654 b=4.9409 c=10.1783 alpha=90.00 beta=90.00 gamma=90.00
Last column: nearest neighbours and their distance in Å.
Space group Immm (No. 71)
Symmetry-distinct sites (fractional):
K 0.0000 0.0000 0.0000 (multiplicity 2)  2 K 2.67, 4 Fe 2.81
Fe 0.0000 0.0000 0.5000 (multiplicity 2)  4 Ru 2.54, 2 Fe 2.67, 4 K 2.81
Ru 0.0000 0.5000 0.2124 (multiplicity 4)  2 Fe 2.54, 2 Ru 2.67

---

The following is a PBE calculation of a geometry-optimized KFe2Ru structure, from Alexandria.

## Properties
ΔE to the lowest computed polymorph ... 0 meV per atom
Final energy ... -6.1456 eV/atom
Spin magnetization ... 1.33 μB/atom
Calculated formation energy ... 0.68 eV per atom
Volume ... 19.4 A^3/atom

Unit cell a=2.7351 b=3.7625 c=7.5219 alpha=90.00 beta=90.00 gamma=90.00
Last column: nearest neighbours and their distance in Å.
Space group Pmmm (No. 47)
Symmetry-distinct sites (fractional):
K 0.0000 0.0000 0.0000 (multiplicity 1)  2 K 2.74
Fe 0.5000 0.5000 0.3495 (multiplicity 2)  1 Fe 2.26
Ru 0.0000 0.0000 0.5000 (multiplicity 1)  8 Fe 2.59, 2 Ru 2.74